1.
First-principles (GGA-PBE) data for an optimized crystal structure of La2Ho3Tm3, as listed in the Alexandria database.

Values from the calculation:
Excess energy over the best structure of this formula in the dataset: 2.070 kcal/mol of atoms
ΔE_f: 0.13 eV per atom
Magnetic moment: 0.0 μB/cell

a b c (Å): 3.573 8.980 16.651
angles (deg): 90.00 90.00 101.48
Atoms (fractional coordinates):
Tm1 0.995 0.990 0.900
Tm2 0.995 0.990 0.600
Tm3 0.579 0.159 0.250
Tm4 0.421 0.841 0.750
Tm5 0.005 0.010 0.400
Tm6 0.005 0.010 0.100
Ho1 0.395 0.790 0.250
Ho2 0.360 0.720 0.487
Ho3 0.360 0.720 0.013
Ho4 0.640 0.280 0.987
Ho5 0.605 0.210 0.750
Ho6 0.640 0.280 0.513
La1 0.222 0.445 0.151
La2 0.222 0.445 0.349
La3 0.778 0.555 0.849
La4 0.778 0.555 0.651

---

2.
First-principles (GGA-PBE) data for an optimized crystal structure of LaHo2Tm, as listed in the Alexandria database.

Values from the calculation:
Excess energy over the best structure of this formula in the dataset: 0.662 kcal/mol of atoms
ΔE_f: 0.04 eV per atom
Magnetic moment: 0.0 μB/cell

a b c (Å): 5.086 5.043 5.043
angles (deg): 90.00 90.00 90.00
Atoms (fractional coordinates):
Tm1 0.500 0.500 0.500
Ho1 0.000 0.500 0.000
Ho2 0.000 0.000 0.500
La1 0.500 0.000 0.000

---

3.
First-principles (GGA-PBE) data for an optimized crystal structure of LaHo3Tm2, as listed in the Alexandria database.

Values from the calculation:
Excess energy over the best structure of this formula in the dataset: 0.000 kcal/mol of atoms
ΔE_f: 0.02 eV per atom
Magnetic moment: 0.0 μB/cell

a b c (Å): 3.631 11.312 11.070
angles (deg): 120.54 99.44 90.00
Atoms (fractional coordinates):
Ho1 0.055 0.676 0.110
Ho2 0.612 0.487 0.224
Ho3 0.278 0.156 0.557
Ho4 0.945 0.324 0.890
Ho5 0.388 0.513 0.776
Ho6 0.722 0.844 0.443
La1 0.390 0.015 0.780
La2 0.610 0.985 0.220
Tm1 0.276 0.648 0.553
Tm2 0.941 0.811 0.882
Tm3 0.724 0.352 0.447
Tm4 0.059 0.189 0.118

---

4.
First-principles (GGA-PBE) data for an optimized crystal structure of La4HoTm2, as listed in the Alexandria database.

Values from the calculation:
Excess energy over the best structure of this formula in the dataset: 3.710 kcal/mol of atoms
ΔE_f: 0.23 eV per atom
Magnetic moment: 0.0 μB/cell

a b c (Å): 6.957 9.054 9.054
angles (deg): 79.33 67.41 67.41
Atoms (fractional coordinates):
Tm1 0.500 0.500 0.500
Tm2 0.286 0.964 0.464
Tm3 0.714 0.036 0.536
Tm4 0.500 0.000 0.000
La1 0.209 0.759 0.259
La2 0.845 0.156 0.154
La3 0.791 0.241 0.741
La4 0.845 0.654 0.656
La5 0.155 0.844 0.846
La6 0.773 0.759 0.259
La7 0.155 0.346 0.344
La8 0.227 0.241 0.741
Ho1 0.000 0.500 0.000
Ho2 0.500 0.500 0.000

---

5.
First-principles (GGA-PBE) data for an optimized crystal structure of La6HoTm12, as listed in the Alexandria database.

Values from the calculation:
ΔE_f: 0.25 eV per atom
Magnetic moment: 0.0 μB/cell

a b c (Å): 9.445 9.445 9.445
angles (deg): 110.23 110.23 110.23
Atoms (fractional coordinates):
Tm1 0.500 0.214 0.786
Tm2 0.827 0.606 0.606
Tm3 0.214 0.786 0.500
Tm4 0.606 0.606 0.827
Tm5 0.786 0.500 0.214
Tm6 0.394 0.394 0.173
Tm7 0.500 0.786 0.214
Tm8 0.214 0.500 0.786
Tm9 0.606 0.827 0.606
Tm10 0.786 0.214 0.500
Tm11 0.173 0.394 0.394
Tm12 0.394 0.173 0.394
La1 0.070 0.696 0.070
La2 0.070 0.070 0.696
La3 0.696 0.070 0.070
La4 0.304 0.930 0.930
La5 0.930 0.304 0.930
La6 0.930 0.930 0.304
Ho1 0.000 0.000 0.000

---

6.
First-principles (GGA-PBE) data for an optimized crystal structure of La6Ho2Tm3, as listed in the Alexandria database.

Values from the calculation:
ΔE_f: 0.12 eV per atom
Magnetic moment: 0.0 μB/cell

a b c (Å): 6.754 6.915 11.962
angles (deg): 112.57 53.13 121.62
Atoms (fractional coordinates):
Tm1 0.000 0.000 0.000
Tm2 0.363 0.871 0.635
Tm3 0.637 0.129 0.365
La1 0.791 0.626 0.212
La2 0.209 0.374 0.788
La3 0.909 0.703 0.503
La4 0.607 0.958 0.834
La5 0.091 0.297 0.497
La6 0.393 0.042 0.166
Ho1 0.278 0.490 0.168
Ho2 0.722 0.510 0.832

---

7.
First-principles (GGA-PBE) data for an optimized crystal structure of LaHo3Tm6, as listed in the Alexandria database.

Values from the calculation:
Excess energy over the best structure of this formula in the dataset: 3.775 kcal/mol of atoms
ΔE_f: 0.30 eV per atom
Magnetic moment: 0.0 μB/cell

a b c (Å): 9.742 9.742 6.824
angles (deg): 44.46 44.46 60.00
Atoms (fractional coordinates):
Tm1 0.564 0.237 0.297
Tm2 0.731 0.071 0.797
Tm3 0.402 0.731 0.797
Tm4 0.902 0.564 0.297
Tm5 0.237 0.902 0.297
Tm6 0.071 0.402 0.797
Ho1 0.645 0.645 0.066
Ho2 0.151 0.151 0.547
Ho3 0.399 0.399 0.804
La1 0.900 0.900 0.301

---

8.
First-principles (GGA-PBE) data for an optimized crystal structure of La6HoTm3, as listed in the Alexandria database.

Values from the calculation:
Excess energy over the best structure of this formula in the dataset: 0.000 kcal/mol of atoms
ΔE_f: 0.19 eV per atom
Magnetic moment: 0.0 μB/cell

a b c (Å): 5.598 10.101 13.699
angles (deg): 90.00 114.10 90.00
Atoms (fractional coordinates):
Tm1 0.500 0.500 0.000
Tm2 0.404 0.146 0.904
Tm3 0.596 0.854 0.096
Tm4 0.096 0.646 0.596
Tm5 0.904 0.354 0.404
Tm6 0.000 0.000 0.500
La1 0.721 0.050 0.720
La2 0.984 0.312 0.984
La3 0.279 0.950 0.280
La4 0.670 0.181 0.171
La5 0.830 0.681 0.329
La6 0.016 0.688 0.016
La7 0.221 0.450 0.220
La8 0.170 0.319 0.671
La9 0.484 0.188 0.484
La10 0.330 0.819 0.829
La11 0.516 0.812 0.516
La12 0.779 0.550 0.780
Ho1 0.500 0.500 0.500
Ho2 0.000 0.000 0.000

---

9.
First-principles (GGA-PBE) data for an optimized crystal structure of La12HoTm3, as listed in the Alexandria database.

Values from the calculation:
ΔE_f: 0.01 eV per atom
Magnetic moment: 0.0 μB/cell

a b c (Å): 5.190 5.190 20.768
angles (deg): 90.00 90.00 90.00
Atoms (fractional coordinates):
La1 0.000 0.500 0.375
La2 0.500 0.000 0.875
La3 0.500 0.000 0.125
La4 0.000 0.500 0.875
La5 0.500 0.000 0.375
La6 0.500 0.500 0.750
La7 0.500 0.500 0.000
La8 0.000 0.500 0.125
La9 0.500 0.500 0.500
La10 0.500 0.500 0.250
La11 0.000 0.500 0.625
La12 0.500 0.000 0.625
Tm1 0.000 0.000 0.500
Tm2 0.000 0.000 0.250
Tm3 0.000 0.000 0.750
Ho1 0.000 0.000 0.000

---

10.
First-principles (GGA-PBE) data for an optimized crystal structure of La3HoTm8, as listed in the Alexandria database.

Values from the calculation:
ΔE_f: 0.62 eV per atom
Magnetic moment: 0.0 μB/cell

a b c (Å): 8.376 8.376 8.376
angles (deg): 95.85 116.68 116.68
Atoms (fractional coordinates):
Tm1 0.517 0.743 0.743
Tm2 0.000 0.882 0.633
Tm3 0.249 0.367 0.367
Tm4 0.483 0.226 0.226
Tm5 0.000 0.257 0.774
Tm6 0.000 0.633 0.882
Tm7 0.751 0.118 0.118
Tm8 0.000 0.774 0.257
La1 0.500 0.250 0.750
La2 0.500 0.750 0.250
La3 0.000 0.500 0.500
Ho1 0.000 0.000 0.000

---

11.
First-principles (GGA-PBE) data for an optimized crystal structure of La7HoTm12, as listed in the Alexandria database.

Values from the calculation:
ΔE_f: 0.65 eV per atom
Magnetic moment: 0.0 μB/cell

a b c (Å): 9.764 9.764 9.764
angles (deg): 109.47 109.47 109.47
Atoms (fractional coordinates):
Tm1 0.244 0.489 0.244
Tm2 0.000 0.756 0.244
Tm3 0.000 0.244 0.756
Tm4 0.489 0.244 0.244
Tm5 0.756 0.756 0.511
Tm6 0.244 0.244 0.489
Tm7 0.244 0.000 0.756
Tm8 0.244 0.756 0.000
Tm9 0.756 0.000 0.244
Tm10 0.756 0.244 0.000
Tm11 0.756 0.511 0.756
Tm12 0.511 0.756 0.756
La1 0.000 0.500 0.000
La2 0.000 0.000 0.500
La3 0.500 0.000 0.000
La4 0.500 0.000 0.500
La5 0.000 0.500 0.500
La6 0.500 0.500 0.500
La7 0.500 0.500 0.000
Ho1 0.000 0.000 0.000

---

12.
First-principles (GGA-PBE) data for an optimized crystal structure of LaHoTm5, as listed in the Alexandria database.

Values from the calculation:
Excess energy over the best structure of this formula in the dataset: 0.000 kcal/mol of atoms
ΔE_f: 0.18 eV per atom
Magnetic moment: 0.0 μB/cell

a b c (Å): 7.035 8.785 8.785
angles (deg): 80.59 66.37 66.37
Atoms (fractional coordinates):
Tm1 0.750 0.500 0.000
Tm2 0.250 0.500 0.000
Tm3 0.463 0.287 0.287
Tm4 0.750 0.710 0.290
Tm5 0.963 0.287 0.287
Tm6 0.250 0.000 0.500
Tm7 0.537 0.713 0.713
Tm8 0.750 0.000 0.500
Tm9 0.250 0.290 0.710
Tm10 0.037 0.713 0.713
La1 0.500 0.000 0.000
La2 0.000 0.000 0.000
Ho1 0.750 0.291 0.709
Ho2 0.250 0.709 0.291